! Cs4SiS4 PBE-GGA relaxed; values from VASP
&SYSTEM
  ibrav = 0, nat = 18, ntyp = 3
/
ATOMIC_SPECIES
S 32.06 S.upf
Cs 132.91 Cs.upf
Si 28.09 Si.upf
CELL_PARAMETERS angstrom
-4.007 5.883 1.276
1.157 -1.264 9.462
7.921 5.447 -0.240
ATOMIC_POSITIONS crystal
S 0.833 0.813 0.000
S 0.667 0.687 0.500
S 0.167 0.000 0.187
S 0.833 0.187 0.000
S 0.333 0.500 0.687
S 0.667 0.313 0.500
S 0.167 0.000 0.813
S 0.333 0.500 0.313
Cs 0.654 0.000 0.722
Cs 0.346 0.722 0.000
Cs 0.654 0.000 0.278
Cs 0.154 0.778 0.500
Cs 0.346 0.278 0.000
Cs 0.154 0.222 0.500
Cs 0.846 0.500 0.778
Cs 0.846 0.500 0.222
Si 0.000 0.000 0.000
Si 0.500 0.500 0.500
! * crystal system: tetragonal
! * density of states at the Fermi level: 0.00 states/eV/cell
! * raw formation energy: -1.1656 eV per atom
! * size of the total moment: 0.00 μB/cell
! * SG: P4_2/nmc, No. 137